DFT (GGA+U) results for a relaxed structure of LaFeBi2F.

abc: 5.4400 4.6531 5.4400
angles: 90.00 90.00 90.00
Fractional positions:
Fe  0.5000  0.5000  0.5000
F  0.0000  0.0000  0.0000
Bi  0.0000  0.0000  0.5000
Bi  0.5000  0.0000  0.0000
La  0.0000  0.5000  0.0000

Total DFT energy (no corrections), eV per atom: -4.61
Calculated volume, A^3/atom: 27.540
SG: P4/mmm (123)
Magnetic moment, μB per formula unit: 4.00